This record from Alexandria via LeMat-Bulk describes YIr4Pb after structural relaxation. The functional is PBE.

Structure (POSCAR):
```
YIr4Pb
1.0
0.000 3.805 3.805
3.805 0.000 3.805
3.805 3.805 0.000
Pb Ir Y
1 4 1
direct
0.750 0.750 0.750 Pb
0.375 0.375 0.874 Ir
0.375 0.375 0.375 Ir
0.375 0.874 0.375 Ir
0.874 0.375 0.375 Ir
0.000 0.000 0.000 Y
```

Summary:
Its space group is No. 216.

=====

This record from Alexandria via LeMat-Bulk describes Y3IrPb after structural relaxation. The functional is PBE.

Structure (POSCAR):
```
Y3IrPb
1.0
6.105 0.000 0.000
0.000 6.105 0.000
3.052 3.052 9.118
Y Ir Pb
6 2 2
direct
0.131 0.882 0.235 Y
0.283 0.283 0.434 Y
0.118 0.869 0.765 Y
0.118 0.366 0.765 Y
0.717 0.717 0.566 Y
0.634 0.882 0.235 Y
0.000 0.000 0.000 Ir
0.250 0.750 0.500 Ir
0.648 0.148 0.704 Pb
0.852 0.352 0.296 Pb
```

Summary:
Its space group is No. 119. For the energy above the most stable polymorph in this dataset, the calculation gives 0.620 eV per atom.

=====

This record from Alexandria via LeMat-Bulk describes YIr2Pb after structural relaxation. The functional is PBE.

Structure (POSCAR):
```
YIr2Pb
1.0
-4.300 -0.077 2.175
-4.024 -0.364 -2.628
-2.580 -4.070 0.094
Pb Y Ir
1 1 2
direct
0.500 0.500 0.500 Pb
0.250 0.250 0.250 Y
0.000 0.000 0.000 Ir
0.750 0.750 0.750 Ir
```

Summary:
Its space group is No. 216.

=====

This record from Alexandria via LeMat-Bulk describes YIr2Pb after structural relaxation. The functional is PBE.

Structure (POSCAR):
```
YIr2Pb
1.0
-5.167 -1.181 -1.358
-0.708 -2.761 -4.670
3.126 -0.521 4.460
Ir Pb Y
2 1 1
direct
0.750 0.250 0.500 Ir
0.000 0.000 0.000 Ir
0.500 0.500 0.000 Pb
0.250 0.750 0.500 Y
```

Summary:
Its space group is No. 119.

=====

This record from Alexandria via LeMat-Bulk describes YIr2Pb after structural relaxation. The functional is PBE.

Structure (POSCAR):
```
YIr2Pb
1.0
3.794 0.000 0.000
0.000 3.267 0.005
0.000 3.244 6.357
Y Ir Pb
1 2 1
direct
0.500 0.750 0.750 Y
0.000 0.997 0.004 Ir
0.000 0.503 0.496 Ir
0.500 0.250 0.250 Pb
```

Summary:
Its space group is No. 10.

=====

This record from Alexandria via LeMat-Bulk describes Y3IrPb after structural relaxation. The functional is PBE.

Structure (POSCAR):
```
Y3IrPb
1.0
-4.863 -4.108 2.670
5.723 -6.332 0.685
2.637 2.792 3.780
Y Ir Pb
6 2 2
direct
0.269 0.054 0.133 Y
0.731 0.554 0.867 Y
0.098 0.750 0.547 Y
0.731 0.946 0.867 Y
0.902 0.250 0.453 Y
0.269 0.446 0.133 Y
0.910 0.250 0.957 Ir
0.090 0.750 0.043 Ir
0.431 0.250 0.711 Pb
0.569 0.750 0.289 Pb
```

Summary:
Its space group is No. 11. For the energy above the most stable polymorph in this dataset, the calculation gives 0.066 eV per atom.

=====

This record from Alexandria via LeMat-Bulk describes Y3IrPb after structural relaxation. The functional is PBE.

Structure (POSCAR):
```
Y3IrPb
1.0
-13.100 12.313 -6.724
-3.538 5.521 -6.871
2.418 -8.080 4.369
Y Pb Ir
6 2 2
direct
0.720 0.295 0.705 Y
0.814 0.877 0.123 Y
0.436 0.731 0.269 Y
0.564 0.269 0.731 Y
0.280 0.705 0.295 Y
0.186 0.123 0.877 Y
0.066 0.058 0.942 Pb
0.934 0.942 0.058 Pb
0.541 0.036 0.964 Ir
0.459 0.964 0.036 Ir
```

Summary:
Its space group is No. 12. For the energy above the most stable polymorph in this dataset, the calculation gives 0.149 eV per atom.

=====

This record from Alexandria via LeMat-Bulk describes YIr2Pb after structural relaxation. The functional is PBE.

Structure (POSCAR):
```
YIr2Pb
1.0
6.007 0.002 0.001
4.393 4.096 0.001
4.393 1.731 3.713
Ir Y Pb
2 1 1
direct
0.291 0.291 0.291 Ir
0.956 0.956 0.956 Ir
0.727 0.727 0.727 Y
0.527 0.527 0.527 Pb
```

Summary:
Its space group is No. 160.

=====

This record from Alexandria via LeMat-Bulk describes Y3IrPb after structural relaxation. The functional is PBE.

Structure (POSCAR):
```
Y3IrPb
1.0
5.375 0.000 0.000
0.000 5.375 0.000
0.000 0.000 5.375
Y Pb Ir
3 1 1
direct
0.000 0.000 0.500 Y
0.000 0.500 0.000 Y
0.500 0.000 0.000 Y
0.500 0.500 0.500 Pb
0.000 0.000 0.000 Ir
```

Summary:
Its space group is No. 221. For the energy above the most stable polymorph in this dataset, the calculation gives 0.179 eV per atom.

=====

This record from Alexandria via LeMat-Bulk describes Y3IrPb after structural relaxation. The functional is PBE.

Structure (POSCAR):
```
Y3IrPb
1.0
4.479 0.000 5.739
-2.239 3.879 5.739
-2.239 -3.879 5.739
Ir Y Pb
2 6 2
direct
0.997 0.997 0.997 Ir
0.497 0.497 0.497 Ir
0.160 0.333 0.746 Y
0.660 0.246 0.833 Y
0.833 0.660 0.246 Y
0.246 0.833 0.660 Y
0.333 0.746 0.160 Y
0.746 0.160 0.333 Y
0.746 0.746 0.746 Pb
0.246 0.246 0.246 Pb
```

Summary:
Its space group is No. 161. For the energy above the most stable polymorph in this dataset, the calculation gives 0.118 eV per atom.

=====

This record from Alexandria via LeMat-Bulk describes Y12Ir6Pb after structural relaxation. The functional is PBE.

Structure (POSCAR):
```
Y12Ir6Pb
1.0
-4.992 -7.045 0.403
-1.865 4.446 -7.174
8.313 -2.364 -0.155
Y Ir Pb
12 6 1
direct
0.103 0.804 0.299 Y
0.505 0.804 0.701 Y
0.897 0.196 0.701 Y
0.701 0.505 0.804 Y
0.196 0.701 0.897 Y
0.299 0.495 0.196 Y
0.299 0.103 0.804 Y
0.495 0.196 0.299 Y
0.804 0.299 0.103 Y
0.196 0.299 0.495 Y
0.701 0.897 0.196 Y
0.804 0.701 0.505 Y
0.376 0.500 0.876 Ir
0.500 0.876 0.376 Ir
0.500 0.124 0.624 Ir
0.124 0.624 0.500 Ir
0.876 0.376 0.500 Ir
0.624 0.500 0.124 Ir
0.000 0.000 0.000 Pb
```

Summary:
Its space group is No. 204.

=====

This record from Alexandria via LeMat-Bulk describes Y3IrPb after structural relaxation. The functional is PBE.

Structure (POSCAR):
```
Y3IrPb
1.0
7.844 -0.005 -0.005
0.002 3.809 0.001
-1.724 -3.810 9.163
Ir Y Pb
2 6 2
direct
0.187 0.428 0.973 Ir
0.391 0.382 0.427 Ir
0.976 0.747 0.791 Y
0.602 0.064 0.608 Y
0.091 0.131 0.175 Y
0.416 0.834 0.878 Y
0.487 0.680 0.224 Y
0.162 0.977 0.521 Y
0.817 0.376 0.420 Pb
0.761 0.435 0.979 Pb
```

Summary:
Its space group is No. 11. For the energy above the most stable polymorph in this dataset, the calculation gives 0.021 eV per atom.

=====

This record from Alexandria via LeMat-Bulk describes Y4IrPb after structural relaxation. The functional is PBE.

Structure (POSCAR):
```
Y4IrPb
1.0
-0.729 -2.428 -5.555
-0.595 -6.507 5.583
-6.039 5.462 0.431
Y Pb Ir
8 2 2
direct
0.311 0.648 0.859 Y
0.689 0.352 0.141 Y
0.952 0.789 0.141 Y
0.790 0.719 0.661 Y
0.048 0.211 0.859 Y
0.629 0.058 0.339 Y
0.371 0.942 0.661 Y
0.210 0.281 0.339 Y
0.620 0.370 0.741 Pb
0.380 0.630 0.259 Pb
0.750 0.000 0.999 Ir
0.250 0.000 0.001 Ir
```

Summary:
Its space group is No. 15. For the energy above the most stable polymorph in this dataset, the calculation gives 0.000 eV per atom.

=====

This record from Alexandria via LeMat-Bulk describes Y3IrPb after structural relaxation. The functional is PBE.

Structure (POSCAR):
```
Y3IrPb
1.0
21.842 0.000 0.592
0.000 7.197 0.000
-7.365 0.000 3.422
Y Pb Ir
12 4 4
direct
0.935 0.499 0.132 Y
0.925 0.003 0.020 Y
0.435 0.001 0.632 Y
0.565 0.999 0.368 Y
0.075 0.997 0.980 Y
0.274 0.853 0.879 Y
0.065 0.501 0.868 Y
0.226 0.353 0.621 Y
0.575 0.503 0.480 Y
0.425 0.497 0.520 Y
0.726 0.147 0.121 Y
0.774 0.647 0.379 Y
0.839 0.801 0.163 Pb
0.661 0.301 0.337 Pb
0.339 0.699 0.663 Pb
0.161 0.199 0.837 Pb
0.948 0.298 0.842 Ir
0.448 0.202 0.342 Ir
0.052 0.702 0.158 Ir
0.552 0.798 0.658 Ir
```

Summary:
Its space group is No. 14. For the energy above the most stable polymorph in this dataset, the calculation gives 0.000 eV per atom.

=====

This record from Alexandria via LeMat-Bulk describes YIr2Pb after structural relaxation. The functional is PBE.

Structure (POSCAR):
```
YIr2Pb
1.0
-2.734 -0.457 3.391
-1.963 -3.346 -2.034
3.529 -7.751 4.629
Ir Pb Y
4 2 2
direct
0.599 0.125 0.250 Ir
0.875 0.849 0.750 Ir
0.375 0.401 0.750 Ir
0.151 0.625 0.250 Ir
0.000 0.000 0.000 Pb
0.750 0.250 0.500 Pb
0.250 0.750 0.500 Y
0.500 0.500 0.000 Y
```

Summary:
Its space group is No. 122.

=====

This record from Alexandria via LeMat-Bulk describes Y2IrPb2 after structural relaxation. The functional is PBE.

Structure (POSCAR):
```
Y2IrPb2
1.0
3.461 0.000 -0.555
-0.089 3.460 -0.555
-0.004 -0.004 11.038
Y Pb Ir
2 2 1
direct
0.423 0.423 0.847 Y
0.577 0.577 0.153 Y
0.809 0.809 0.617 Pb
0.191 0.191 0.383 Pb
0.000 0.000 0.000 Ir
```

Summary:
Its space group is No. 139. For the energy above the most stable polymorph in this dataset, the calculation gives 0.000 eV per atom.

=====

This record from Alexandria via LeMat-Bulk describes Y3IrPb after structural relaxation. The functional is PBE.

Structure (POSCAR):
```
Y3IrPb
1.0
4.633 0.000 0.000
0.000 4.633 0.000
0.000 0.000 7.981
Pb Ir Y
1 1 3
direct
0.000 0.000 0.121 Pb
0.500 0.500 0.598 Ir
0.000 0.500 0.403 Y
0.500 0.000 0.403 Y
0.000 0.000 0.739 Y
```

Summary:
Its space group is No. 99. For the energy above the most stable polymorph in this dataset, the calculation gives 0.558 eV per atom.

=====

This record from Alexandria via LeMat-Bulk describes Y3IrPb after structural relaxation. The functional is PBE.

Structure (POSCAR):
```
Y3IrPb
1.0
4.195 -2.422 0.000
0.000 4.844 0.000
0.000 0.000 16.268
Y Pb Ir
6 2 2
direct
0.667 0.333 0.089 Y
0.333 0.667 0.589 Y
0.667 0.333 0.411 Y
0.000 0.000 0.750 Y
0.333 0.667 0.911 Y
0.000 0.000 0.250 Y
0.000 0.000 0.500 Pb
0.000 0.000 0.000 Pb
0.667 0.333 0.250 Ir
0.333 0.667 0.750 Ir
```

Summary:
Its space group is No. 194. For the energy above the most stable polymorph in this dataset, the calculation gives 0.311 eV per atom.

=====

This record from Alexandria via LeMat-Bulk describes Y3IrPb after structural relaxation. The functional is PBE.

Structure (POSCAR):
```
Y3IrPb
1.0
-3.117 4.575 -1.528
1.117 -1.086 -5.528
-9.982 -4.566 -4.103
Y Ir Pb
6 2 2
direct
0.289 0.289 0.421 Y
0.106 0.870 0.260 Y
0.130 0.894 0.740 Y
0.635 0.870 0.260 Y
0.711 0.711 0.579 Y
0.130 0.365 0.740 Y
0.693 0.193 0.614 Ir
0.807 0.307 0.386 Ir
0.250 0.750 0.500 Pb
0.000 0.000 0.000 Pb
```

Summary:
Its space group is No. 119. For the energy above the most stable polymorph in this dataset, the calculation gives 0.996 eV per atom.

=====

This record from Alexandria via LeMat-Bulk describes YIrPb2 after structural relaxation. The functional is PBE.

Structure (POSCAR):
```
YIrPb2
1.0
-3.338 0.871 -0.615
-1.044 -2.252 2.477
0.474 5.469 5.171
Pb Y Ir
2 1 1
direct
0.000 0.000 0.537 Pb
0.000 0.000 0.963 Pb
0.500 0.500 0.250 Y
0.500 0.500 0.750 Ir
```

Summary:
Its space group is No. 123. For the energy above the most stable polymorph in this dataset, the calculation gives 0.260 eV per atom.

=====

How do the records compare in energy of formation? In the order shown, they have -0.2659 0.0025 0.1182 -0.1684 -0.1762 -0.5521 -0.4683 -0.2820 -0.4386 -0.5001 -0.6168 -0.5969 -0.5624 -0.6178 0.3162 -0.4457 -0.0596 -0.3070 0.3781 0.0211 eV per atom.